Here is a relaxed TlSiSb2 crystal from Alexandria via LeMat-Bulk. Energies are from GGA-PBE.

POSCAR file:
```
TlSiSb2
1.0
7.044 0.000 0.000
0.000 7.044 0.000
0.000 0.000 10.947
Tl Si Sb
4 4 8
Direct
0.000 0.000 0.000
0.000 0.500 0.250
0.500 0.000 0.750
0.500 0.500 0.500
0.000 0.000 0.500
0.000 0.500 0.750
0.500 0.000 0.250
0.500 0.500 0.000
0.195 0.250 0.625
0.250 0.695 0.875
0.250 0.805 0.375
0.305 0.250 0.125
0.695 0.750 0.125
0.750 0.195 0.375
0.750 0.305 0.875
0.805 0.750 0.625
```

Computed properties:
**Spin magnetization**: 0.0 μB per formula unit
**Energy relative to the lowest polymorph listed for this composition**: 24.7 kJ/mol of formula units
**D(E_F)**: 2.5 states/eV/f.u.
**Final energy**: -3.77 eV/atom

Here is a relaxed Ta2ZnMo crystal from Alexandria via LeMat-Bulk. Energies are from GGA-PBE.

POSCAR file:
```
Ta2ZnMo
1.0
3.294 0.000 0.000
0.000 3.294 0.000
0.000 0.000 6.135
Ta Zn Mo
2 1 1
Direct
0.000 0.000 0.246
0.000 0.000 0.754
0.500 0.500 0.500
0.500 0.500 0.000
```

Computed properties:
**Spin magnetization**: 0.0 μB per formula unit
**D(E_F)**: 1.5 states/eV/f.u.
**ΔE_f**: -0.068 eV/atom
**Final energy**: -9.02 eV/atom

Here is a relaxed LaZr2Rh2 crystal from Alexandria via LeMat-Bulk. Energies are from GGA-PBE.

POSCAR file:
```
LaZr2Rh2
1.0
4.577 0.000 0.000
0.000 4.577 0.000
0.000 0.000 10.979
La Zr Rh
2 4 4
Direct
0.000 0.000 0.000
0.500 0.500 0.500
0.000 0.500 0.250
0.000 0.500 0.750
0.500 0.000 0.250
0.500 0.000 0.750
0.000 0.000 0.379
0.000 0.000 0.621
0.500 0.500 0.121
0.500 0.500 0.879
```

Computed properties:
**Spin magnetization**: 0.0 μB per formula unit
**Energy relative to the lowest polymorph listed for this composition**: 0.0 kJ/mol of formula units
**D(E_F)**: 3.4 states/eV/f.u.
**ΔE_f**: -0.631 eV/atom
**Final energy**: -7.98 eV/atom

Here is a relaxed Cs2CeHgSe4 crystal from Alexandria via LeMat-Bulk. Energies are from GGA-PBE.

POSCAR file:
```
Cs2CeHgSe4
1.0
8.212 0.000 0.000
0.000 8.212 0.000
0.000 0.000 9.700
Cs Ce Hg Se
4 2 2 8
Direct
0.000 0.000 0.000
0.000 0.500 0.250
0.500 0.000 0.750
0.500 0.500 0.500
0.000 0.000 0.500
0.500 0.500 0.000
0.000 0.500 0.750
0.500 0.000 0.250
0.161 0.248 0.630
0.248 0.839 0.370
0.252 0.661 0.870
0.339 0.252 0.130
0.661 0.748 0.130
0.748 0.339 0.870
0.752 0.161 0.370
0.839 0.752 0.630
```

Computed properties:
**Spin magnetization**: 0.0 μB per formula unit
**Final energy**: -3.77 eV/atom

Here is a relaxed HfSc2Ir2 crystal from Alexandria via LeMat-Bulk. Energies are from GGA-PBE.

POSCAR file:
```
HfSc2Ir2
1.0
4.487 0.000 0.000
-2.243 3.886 0.000
0.000 0.000 5.719
Hf Sc Ir
1 2 2
Direct
0.000 0.000 0.000
0.333 0.667 0.345
0.667 0.333 0.655
0.333 0.667 0.839
0.667 0.333 0.161
```

Computed properties:
**Spin magnetization**: 0.0 μB per formula unit
**Energy relative to the lowest polymorph listed for this composition**: 0.0 kJ/mol of formula units
**D(E_F)**: 3.2 states/eV/f.u.
**ΔE_f**: -0.867 eV/atom
**Final energy**: -8.93 eV/atom

Here is a relaxed PmHICl crystal from Alexandria via LeMat-Bulk. Energies are from GGA-PBE.

POSCAR file:
```
PmHICl
1.0
6.943 0.000 0.000
0.000 4.009 0.000
-2.331 0.000 7.692
Pm H I Cl
2 2 2 2
Direct
0.000 0.000 0.000
0.500 0.500 0.000
0.336 0.000 0.008
0.836 0.500 0.008
0.263 0.500 0.286
0.763 0.000 0.286
0.092 0.500 0.777
0.592 0.000 0.777
```

Computed properties:
**Spin magnetization**: 0.0 μB per formula unit
**D(E_F)**: 0.0 states/eV/f.u.
**Final energy**: -4.37 eV/atom